Material: ZnFeAg3
Method: DFT, PBEsol
State: optimized geometry

POSCAR file:
```
ZnFeAg3
1.0
4.631 0.000 0.000
0.000 4.631 0.000
0.000 0.000 4.631
Zn Fe Ag
1 1 3
Direct
0.000 0.000 0.000
0.500 0.500 0.500
0.000 0.000 0.500
0.000 0.500 0.000
0.500 0.000 0.000
```

energy of formation from the pure elements	1.052	eV per atom
symmetry	Pm-3m (221)

Material: BeMo2Br
Method: DFT, PBEsol
State: optimized geometry

POSCAR file:
```
BeMo2Br
1.0
3.024 0.000 0.000
0.000 4.404 0.000
0.000 0.000 4.469
Be Mo Br
1 2 1
Direct
0.000 0.000 0.000
0.000 0.500 0.500
0.500 0.500 0.000
0.500 0.000 0.500
```

symmetry	Pmmm (47)
raw formation energy	851	meV per atom

Material: AsIr2Os
Method: DFT, PBEsol
State: optimized geometry

POSCAR file:
```
AsIr2Os
1.0
-1.941 1.941 3.816
1.941 -1.941 3.816
1.941 1.941 -3.816
As Ir Os
1 2 1
Direct
0.000 0.000 0.000
0.250 0.750 0.500
0.750 0.250 0.500
0.500 0.500 0.000
```

energy of formation from the pure elements	0.388	eV per atom
symmetry	I4/mmm (139)

Material: Cd2AgCl
Method: DFT, PBEsol
State: optimized geometry

POSCAR file:
```
Cd2AgCl
1.0
5.502 -1.615 0.000
5.502 1.615 0.000
-1.918 0.000 4.488
Cd Ag Cl
2 1 1
Direct
0.000 0.000 0.000
0.735 0.735 0.455
0.274 0.274 0.995
0.501 0.501 0.531
```

symmetry	Cm (8)
raw formation energy	-153	meV per atom

Material: SrCrSi4O10
Method: DFT, PBEsol
State: optimized geometry

POSCAR file:
```
SrCrSi4O10
1.0
7.449 0.000 0.000
0.000 7.449 0.000
0.000 0.000 15.657
Sr Cr Si O
4 4 16 40
Direct
0.250 0.750 0.000
0.250 0.750 0.500
0.750 0.250 0.000
0.750 0.250 0.500
0.250 0.250 0.085
0.250 0.250 0.585
0.750 0.750 0.415
0.750 0.750 0.915
0.008 0.072 0.350
0.008 0.428 0.850
0.072 0.008 0.850
0.072 0.492 0.350
0.428 0.008 0.350
0.428 0.492 0.850
0.492 0.072 0.850
0.492 0.428 0.350
0.508 0.572 0.650
0.508 0.928 0.150
0.572 0.508 0.150
0.572 0.992 0.650
0.928 0.508 0.650
0.928 0.992 0.150
0.992 0.572 0.150
0.992 0.928 0.650
0.001 0.711 0.630
0.001 0.789 0.130
0.012 0.136 0.085
0.012 0.364 0.585
0.036 0.536 0.250
0.036 0.964 0.750
0.136 0.012 0.585
0.136 0.488 0.085
0.211 0.501 0.870
0.211 0.999 0.370
0.289 0.501 0.370
0.289 0.999 0.870
0.364 0.012 0.085
0.364 0.488 0.585
0.464 0.536 0.750
0.464 0.964 0.250
0.488 0.136 0.585
0.488 0.364 0.085
0.499 0.711 0.130
0.499 0.789 0.630
0.501 0.211 0.370
0.501 0.289 0.870
0.512 0.636 0.915
0.512 0.864 0.415
0.536 0.036 0.750
0.536 0.464 0.250
0.636 0.512 0.415
0.636 0.988 0.915
0.711 0.001 0.130
0.711 0.499 0.630
0.789 0.001 0.630
0.789 0.499 0.130
0.864 0.512 0.915
0.864 0.988 0.415
0.964 0.036 0.250
0.964 0.464 0.750
0.988 0.636 0.415
0.988 0.864 0.915
0.999 0.211 0.870
0.999 0.289 0.370
```

symmetry	P4/ncc (130)
raw formation energy	-2695	meV per atom

Material: ZrScOs4
Method: DFT, PBEsol
State: optimized geometry

POSCAR file:
```
ZrScOs4
1.0
0.000 3.667 3.667
3.667 0.000 3.667
3.667 3.667 0.000
Zr Sc Os
1 1 4
Direct
0.000 0.000 0.000
0.250 0.250 0.250
0.126 0.625 0.625
0.625 0.126 0.625
0.625 0.625 0.126
0.625 0.625 0.625
```

energy of formation from the pure elements	-0.319	eV per atom
symmetry	F-43m (216)

In order of appearance, calculated total energy = -3.04; -6.50; -8.85; -2.08; -8.17; -11.08 eV per atom.
In order of appearance, ρ = 7.4; 7.8; 18.8; 7.7; 3.1; 15.1 g/cm3.